1.
Here is Rb2SbO4 after structural relaxation from Alexandria via LeMat-Bulk. Energies are from PBE-GGA.

Lattice parameters (Å, degrees): 6.4166 6.4166 7.0962 116.85 116.85 28.99
Last column: nearest neighbours and their distance in Å.
Positions (direct):
Rb: 0.1600 0.1600 0.1743  7 O 2.87-3.00
Rb: 0.8400 0.8400 0.8257  7 O 2.87-3.00
Sb: 0.5000 0.5000 0.5000  6 O 1.96-2.10
O: 0.1201 0.1201 0.5603  2 Sb 2.10
O: 0.4653 0.4653 0.2005  1 Sb 1.96
O: 0.5347 0.5347 0.7995  1 Sb 1.96
O: 0.8799 0.8799 0.4397  2 Sb 2.10

Summary:
* space-group type: No. 12
* calculated density: 4.7 Mg/m³
* E above lowest polymorph: 45 meV/atom
* formation energy without anion corrections: -1301 meV per atom

2.
Here is Rb5SbO after structural relaxation from Alexandria via LeMat-Bulk. Energies are from PBE-GGA.

Lattice parameters (Å, degrees): 7.8972 7.8972 11.9466 112.11 112.11 61.04
Last column: nearest neighbours and their distance in Å.
Positions (direct):
Rb: 0.0023 0.9977 0.7500  2 O 2.99
Rb: 0.1044 0.6084 0.4268  1 O 2.65
Rb: 0.1154 0.6058 0.9316  1 O 2.66
Rb: 0.3916 0.8956 0.0732  1 O 2.65
Rb: 0.3942 0.8846 0.5684  1 O 2.66
Rb: 0.6058 0.1154 0.4316  1 O 2.66
Rb: 0.6084 0.1044 0.9268  1 O 2.65
Rb: 0.8846 0.3942 0.0684  1 O 2.66
Rb: 0.8956 0.3916 0.5732  1 O 2.65
Rb: 0.9977 0.0023 0.2500  2 O 2.99
Sb: 0.5004 0.4996 0.2500  10 Rb 3.95-4.03
Sb: 0.4996 0.5004 0.7500  10 Rb 3.95-4.03
O: 0.0000 0.0000 0.0000  4 Rb 2.65-2.66
O: 0.0000 0.0000 0.5000  4 Rb 2.65-2.66

Summary:
* space-group type: No. 15
* calculated density: 3.2 Mg/m³
* formation energy without anion corrections: -579 meV per atom

3.
Here is Rb3Sb5O12 after structural relaxation from Alexandria via LeMat-Bulk. Energies are from PBE-GGA.

Lattice parameters (Å, degrees): 12.2756 12.2756 12.2756 109.47 109.47 109.47
Last column: nearest neighbours and their distance in Å.
Positions (direct):
Rb: 0.1250 0.2500 0.3750  8 O 2.83-3.03
Rb: 0.1250 0.3750 0.7500  8 O 2.83-3.03
Rb: 0.2500 0.3750 0.1250  8 O 2.83-3.03
Rb: 0.2500 0.8750 0.6250  8 O 2.83-3.03
Rb: 0.3750 0.1250 0.2500  8 O 2.83-3.03
Rb: 0.3750 0.7500 0.1250  8 O 2.83-3.03
Rb: 0.6250 0.2500 0.8750  8 O 2.83-3.03
Rb: 0.6250 0.8750 0.7500  8 O 2.83-3.03
Rb: 0.7500 0.1250 0.3750  8 O 2.83-3.03
Rb: 0.7500 0.6250 0.8750  8 O 2.83-3.03
Rb: 0.8750 0.6250 0.2500  8 O 2.83-3.03
Rb: 0.8750 0.7500 0.6250  8 O 2.83-3.03
Sb: 0.0000 0.0000 0.0000  6 O 2.29
Sb: 0.0000 0.0000 0.5000  6 O 2.29
Sb: 0.0000 0.5000 0.0000  6 O 2.29
Sb: 0.0000 0.5000 0.5000  6 O 2.29
Sb: 0.1250 0.7500 0.8750  4 O 1.93
Sb: 0.1250 0.8750 0.2500  4 O 1.93
Sb: 0.2500 0.1250 0.8750  4 O 1.93
Sb: 0.2500 0.6250 0.3750  4 O 1.93
Sb: 0.3750 0.2500 0.6250  4 O 1.93
Sb: 0.3750 0.6250 0.7500  4 O 1.93
Sb: 0.5000 0.0000 0.0000  6 O 2.29
Sb: 0.5000 0.0000 0.5000  6 O 2.29
Sb: 0.5000 0.5000 0.0000  6 O 2.29
Sb: 0.5000 0.5000 0.5000  6 O 2.29
Sb: 0.6250 0.3750 0.2500  4 O 1.93
Sb: 0.6250 0.7500 0.3750  4 O 1.93
Sb: 0.7500 0.3750 0.6250  4 O 1.93
Sb: 0.7500 0.8750 0.1250  4 O 1.93
Sb: 0.8750 0.1250 0.7500  4 O 1.93
Sb: 0.8750 0.2500 0.1250  4 O 1.93
O: 0.0006 0.6925 0.1081  1 Sb 1.93
O: 0.0006 0.8082 0.8925  1 Sb 1.93
O: 0.0844 0.6918 0.6925  1 Sb 1.93
O: 0.0844 0.8925 0.3919  1 Sb 1.93
O: 0.1075 0.6081 0.9156  1 Sb 1.93
O: 0.1075 0.9994 0.1918  1 Sb 1.93
O: 0.1081 0.0006 0.6925  1 Sb 1.93
O: 0.1081 0.6075 0.4156  1 Sb 1.93
O: 0.1918 0.1075 0.9994  1 Sb 1.93
O: 0.1925 0.1918 0.5844  1 Sb 1.93
O: 0.1925 0.5006 0.6081  1 Sb 1.93
O: 0.1918 0.5844 0.1925  1 Sb 1.93
O: 0.3082 0.3075 0.9156  1 Sb 1.93
O: 0.3082 0.5006 0.3925  1 Sb 1.93
O: 0.3075 0.8919 0.9994  1 Sb 1.93
O: 0.3075 0.9156 0.3082  1 Sb 1.93
O: 0.3919 0.0844 0.8925  1 Sb 1.93
O: 0.3919 0.8075 0.4994  1 Sb 1.93
O: 0.3925 0.3082 0.5006  1 Sb 1.93
O: 0.3925 0.5844 0.8919  1 Sb 1.93
O: 0.4156 0.1081 0.6075  1 Sb 1.93
O: 0.4156 0.8075 0.8082  1 Sb 1.93
O: 0.4994 0.3919 0.8075  1 Sb 1.93
O: 0.4994 0.6075 0.6918  1 Sb 1.93
O: 0.5006 0.3925 0.3082  1 Sb 1.93
O: 0.5006 0.6081 0.1925  1 Sb 1.93
O: 0.5844 0.1925 0.1918  1 Sb 1.93
O: 0.5844 0.8919 0.3925  1 Sb 1.93
O: 0.6075 0.4156 0.1081  1 Sb 1.93
O: 0.6075 0.6918 0.4994  1 Sb 1.93
O: 0.6081 0.1925 0.5006  1 Sb 1.93
O: 0.6081 0.9156 0.1075  1 Sb 1.93
O: 0.6925 0.0844 0.6918  1 Sb 1.93
O: 0.6925 0.1081 0.0006  1 Sb 1.93
O: 0.6918 0.4994 0.6075  1 Sb 1.93
O: 0.6918 0.6925 0.0844  1 Sb 1.93
O: 0.8082 0.4156 0.8075  1 Sb 1.93
O: 0.8075 0.4994 0.3919  1 Sb 1.93
O: 0.8075 0.8082 0.4156  1 Sb 1.93
O: 0.8082 0.8925 0.0006  1 Sb 1.93
O: 0.8919 0.3925 0.5844  1 Sb 1.93
O: 0.8919 0.9994 0.3075  1 Sb 1.93
O: 0.8925 0.0006 0.8082  1 Sb 1.93
O: 0.8925 0.3919 0.0844  1 Sb 1.93
O: 0.9156 0.1075 0.6081  1 Sb 1.93
O: 0.9156 0.3082 0.3075  1 Sb 1.93
O: 0.9994 0.1918 0.1075  1 Sb 1.93
O: 0.9994 0.3075 0.8919  1 Sb 1.93

Summary:
* space-group type: No. 230
* calculated density: 4.9 Mg/m³
* formation energy without anion corrections: -1343 meV per atom